An optimized crystal structure of Ag2Se3I. Source: the Alexandria database, functional PBE.

Computed properties:
- volume (Å³/atom) = 28.10
- crystal system = monoclinic
- E_form (uncorrected) (eV/atom) = 0.040
- E (eV/atom) = -2.911

a b c (Å): 6.0925 6.0925 9.1521
angles (deg): 93.73 93.73 94.43
Fractional positions:
Ag 0.1208 0.3712 0.2186
Ag 0.3712 0.1208 0.7186
Ag 0.6288 0.8792 0.2814
Ag 0.8792 0.6288 0.7814
Se 0.3110 0.6890 0.7500
Se 0.3156 0.4226 0.5191
Se 0.4226 0.3156 0.0191
Se 0.5774 0.6844 0.9809
Se 0.6844 0.5774 0.4809
Se 0.6890 0.3110 0.2500
I 0.1282 0.8718 0.2500
I 0.8718 0.1282 0.7500

***

An optimized crystal structure of Ag5Se2I. Source: the Alexandria database, functional PBE.

Computed properties:
- volume (Å³/atom) = 23.51
- crystal system = tetragonal
- E_form (uncorrected) (eV/atom) = -0.041
- E (eV/atom) = -2.887

a b c (Å): 7.8678 7.8678 7.8678
angles (deg): 141.41 141.41 55.72
Fractional positions:
Ag 0.0000 0.0000 0.0000
Ag 0.1393 0.6393 0.5000
Ag 0.3607 0.8607 0.5000
Ag 0.6393 0.1393 0.5000
Ag 0.8607 0.3607 0.5000
Se 0.1862 0.1862 0.0000
Se 0.8138 0.8138 0.0000
I 0.5000 0.5000 0.0000

***

An optimized crystal structure of AgSeI4. Source: the Alexandria database, functional PBE.

Computed properties:
- volume (Å³/atom) = 41.44
- crystal system = monoclinic
- E_form (uncorrected) (eV/atom) = -0.011
- E (eV/atom) = -2.100

a b c (Å): 9.1524 9.1524 8.4681
angles (deg): 101.00 101.00 128.65
Fractional positions:
Ag 0.1840 0.8160 0.7500
Ag 0.8160 0.1840 0.2500
Se 0.3168 0.6832 0.2500
Se 0.6832 0.3168 0.7500
I 0.0387 0.4275 0.7283
I 0.1986 0.3241 0.2611
I 0.3241 0.1986 0.7611
I 0.4275 0.0387 0.2283
I 0.5725 0.9613 0.7717
I 0.6759 0.8014 0.2389
I 0.8014 0.6759 0.7389
I 0.9613 0.5725 0.2717

***

An optimized crystal structure of Ag2Se2I. Source: the Alexandria database, functional PBE.

Computed properties:
- volume (Å³/atom) = 24.15
- crystal system = tetragonal
- E_form (uncorrected) (eV/atom) = 0.108
- E (eV/atom) = -2.736

a b c (Å): 8.0580 8.0580 8.0580
angles (deg): 151.25 151.25 41.11
Fractional positions:
Ag 0.0985 0.0985 0.0000
Ag 0.9015 0.9015 0.0000
Se 0.2500 0.7500 0.5000
Se 0.7500 0.2500 0.5000
I 0.5000 0.5000 0.0000

***

An optimized crystal structure of AgSe2I2. Source: the Alexandria database, functional PBE.

Computed properties:
- volume (Å³/atom) = 40.86
- crystal system = tetragonal
- E_form (uncorrected) (eV/atom) = 0.161
- E (eV/atom) = -2.423

a b c (Å): 7.9139 7.9139 6.5247
angles (deg): 90.00 90.00 90.00
Fractional positions:
Ag 0.0000 0.0000 0.0000
Ag 0.5000 0.5000 0.0000
Se 0.0973 0.4027 0.5000
Se 0.4027 0.9027 0.5000
Se 0.5973 0.0973 0.5000
Se 0.9027 0.5973 0.5000
I 0.1954 0.3046 0.0000
I 0.3046 0.8046 0.0000
I 0.6954 0.1954 0.0000
I 0.8046 0.6954 0.0000

***

An optimized crystal structure of Ag5Se2I2. Source: the Alexandria database, functional PBE.

Computed properties:
- volume (Å³/atom) = 28.54
- crystal system = orthorhombic
- E_form (uncorrected) (eV/atom) = -0.059
- E (eV/atom) = -2.762

a b c (Å): 10.7940 10.7940 10.7940
angles (deg): 57.76 139.98 140.14
Fractional positions:
Ag 0.1601 0.2674 0.3927
Ag 0.1940 0.0155 0.2096
Ag 0.1940 0.4845 0.6785
Ag 0.3832 0.5821 0.0573
Ag 0.3832 0.8259 0.3011
Ag 0.5248 0.0821 0.6989
Ag 0.5248 0.3259 0.9427
Ag 0.8060 0.5155 0.3215
Ag 0.8060 0.9845 0.7904
Ag 0.8746 0.7674 0.6073
Se 0.2993 0.1018 0.6975
Se 0.3177 0.3177 0.0000
Se 0.3177 0.8177 0.5000
Se 0.4043 0.6018 0.3025
I 0.8101 0.2173 0.3340
I 0.8101 0.9761 0.0928
I 0.8832 0.4761 0.6660
I 0.8832 0.7173 0.9072

***

An optimized crystal structure of Ag12Se6I. Source: the Alexandria database, functional PBE.

Computed properties:
- volume (Å³/atom) = 22.89
- crystal system = trigonal
- E_form (uncorrected) (eV/atom) = -0.006
- E (eV/atom) = -2.988

a b c (Å): 8.0838 8.0838 8.0838
angles (deg): 107.41 107.41 107.41
Fractional positions:
Ag 0.0000 0.3647 0.6353
Ag 0.0000 0.6353 0.3647
Ag 0.1158 0.1158 0.3478
Ag 0.1158 0.3478 0.1158
Ag 0.3478 0.1158 0.1158
Ag 0.3647 0.0000 0.6353
Ag 0.3647 0.6353 0.0000
Ag 0.6353 0.0000 0.3647
Ag 0.6353 0.3647 0.0000
Ag 0.6522 0.8842 0.8842
Ag 0.8842 0.6522 0.8842
Ag 0.8842 0.8842 0.6522
Se 0.1501 0.7486 0.7486
Se 0.2514 0.2514 0.8499
Se 0.2514 0.8499 0.2514
Se 0.7486 0.1501 0.7486
Se 0.7486 0.7486 0.1501
Se 0.8499 0.2514 0.2514
I 0.5000 0.5000 0.5000

***

An optimized crystal structure of AgSeI2. Source: the Alexandria database, functional PBE.

Computed properties:
- volume (Å³/atom) = 36.22
- crystal system = tetragonal
- E_form (uncorrected) (eV/atom) = 0.283
- E (eV/atom) = -2.076

a b c (Å): 9.5838 9.5838 9.5838
angles (deg): 144.89 144.89 50.51
Fractional positions:
Ag 0.0000 0.0000 0.0000
Ag 0.7500 0.2500 0.5000
Se 0.2500 0.7500 0.5000
Se 0.5000 0.5000 0.0000
I 0.1347 0.6250 0.0097
I 0.3750 0.3847 0.5097
I 0.6153 0.1250 0.9903
I 0.8750 0.8653 0.4903

***

An optimized crystal structure of Ag12Se6I. Source: the Alexandria database, functional PBE.

Computed properties:
- volume (Å³/atom) = 23.75
- crystal system = trigonal
- E_form (uncorrected) (eV/atom) = -0.073
- E (eV/atom) = -3.056

a b c (Å): 7.8378 7.8378 7.8378
angles (deg): 100.94 100.94 100.94
Fractional positions:
Ag 0.0815 0.6338 0.8324
Ag 0.1676 0.9185 0.3662
Ag 0.2001 0.4970 0.4912
Ag 0.3662 0.1676 0.9185
Ag 0.4912 0.2001 0.4970
Ag 0.4970 0.4912 0.2001
Ag 0.5030 0.5088 0.7999
Ag 0.5088 0.7999 0.5030
Ag 0.6338 0.8324 0.0815
Ag 0.7999 0.5030 0.5088
Ag 0.8324 0.0815 0.6338
Ag 0.9185 0.3662 0.1676
Se 0.1953 0.2068 0.6124
Se 0.2068 0.6124 0.1953
Se 0.3876 0.8047 0.7932
Se 0.6124 0.1953 0.2068
Se 0.7932 0.3876 0.8047
Se 0.8047 0.7932 0.3876
I 0.0000 0.0000 0.0000

***

An optimized crystal structure of Ag2Se2I. Source: the Alexandria database, functional PBE.

Computed properties:
- volume (Å³/atom) = 23.34
- crystal system = tetragonal
- E_form (uncorrected) (eV/atom) = 0.190
- E (eV/atom) = -2.654

a b c (Å): 8.9729 8.9729 2.8989
angles (deg): 90.00 90.00 90.00
Fractional positions:
Ag 0.1622 0.3378 0.0000
Ag 0.3378 0.8378 0.0000
Ag 0.6622 0.1622 0.0000
Ag 0.8378 0.6622 0.0000
Se 0.1334 0.6334 0.5000
Se 0.3666 0.1334 0.5000
Se 0.6334 0.8666 0.5000
Se 0.8666 0.3666 0.5000
I 0.0000 0.0000 0.0000
I 0.5000 0.5000 0.0000

***

An optimized crystal structure of AgSe3I. Source: the Alexandria database, functional PBE.

Computed properties:
- volume (Å³/atom) = 31.73
- crystal system = orthorhombic
- E_form (uncorrected) (eV/atom) = -0.093
- E (eV/atom) = -3.064

a b c (Å): 15.0606 5.1560 8.1714
angles (deg): 90.00 90.00 90.00
Fractional positions:
Ag 0.2500 0.1996 0.2500
Ag 0.2500 0.8004 0.7500
Ag 0.7500 0.1996 0.2500
Ag 0.7500 0.8004 0.7500
Se 0.0000 0.1064 0.2355
Se 0.0000 0.8936 0.7645
Se 0.1205 0.1097 0.6328
Se 0.1205 0.8903 0.3672
Se 0.3795 0.1097 0.8672
Se 0.3795 0.8903 0.1328
Se 0.5000 0.1064 0.2645
Se 0.5000 0.8936 0.7355
Se 0.6205 0.1097 0.8672
Se 0.6205 0.8903 0.1328
Se 0.8795 0.1097 0.6328
Se 0.8795 0.8903 0.3672
I 0.1661 0.5000 0.0000
I 0.3339 0.5000 0.5000
I 0.6661 0.5000 0.5000
I 0.8339 0.5000 0.0000

***

Number 2 is which compound?
Ag5Se2I

***

What is the E in the eighth record?
-2.076 eV/atom

***

Among the records above, which one has the highest E?
AgSeI2

***

Which value of volume does entry 9 give?
23.75 Å³/atom